1.
VASP calculation (GGA-PBE) on an optimized crystal structure of TbZn9Co2.

Unit cell a=6.7620 b=8.0485 c=8.0485 alpha=79.84 beta=65.16 gamma=65.16
Element x y z (fractional)
Tb 0.5000 0.0000 0.0000
Tb 0.2500 0.5000 0.5000
Zn 0.7500 0.5000 0.5000
Zn 0.0000 0.0000 0.0000
Zn 0.0156 0.9177 0.6748
Zn 0.6081 0.0823 0.3252
Zn 0.6833 0.1748 0.5823
Zn 0.4404 0.8252 0.4177
Zn 0.7344 0.8252 0.5823
Zn 0.1419 0.1748 0.4177
Zn 0.0667 0.9177 0.3252
Zn 0.3096 0.0823 0.6748
Zn 0.7344 0.5823 0.8252
Zn 0.1419 0.4177 0.1748
Zn 0.0667 0.3252 0.9177
Zn 0.3096 0.6748 0.0823
Zn 0.0156 0.6748 0.9177
Zn 0.6081 0.3252 0.0823
Zn 0.6833 0.5823 0.1748
Zn 0.4404 0.4177 0.8252
Co 0.8750 0.2500 0.7500
Co 0.8750 0.7500 0.2500
Co 0.8750 0.2500 0.2500
Co 0.3750 0.7500 0.7500

***

2.
VASP calculation (GGA-PBE) on an optimized crystal structure of TbZn9Co2.

Unit cell a=2.9964 b=8.4387 c=8.4387 alpha=120.00 beta=90.00 gamma=90.00
Element x y z (fractional)
Tb 0.0000 0.0000 0.0000
Zn 0.5000 0.8094 0.1906
Zn 0.0000 0.0000 0.5000
Zn 0.0000 0.5000 0.5000
Zn 0.5000 0.8094 0.6187
Zn 0.5000 0.1906 0.8094
Zn 0.5000 0.6187 0.8094
Zn 0.5000 0.1906 0.3813
Zn 0.0000 0.5000 0.0000
Zn 0.5000 0.3813 0.1906
Co 0.0000 0.6667 0.3333
Co 0.0000 0.3333 0.6667

***

The energy of each structure relative to the most stable one, in meV/atom, is as follows: 1 0; 2 80.